This record from the Alexandria database describes Pm4Sm2Th3 after structural relaxation. The functional is PBE.

Cell: 3.597 3.597 27.123 Å, 90.00 90.00 120.00°
Fractional coordinates of all 9 atoms:
Pm  0.000  0.000  0.000
Pm  0.000  0.000  0.216
Pm  0.333  0.667  0.329
Pm  0.333  0.667  0.547
Sm  0.000  0.000  0.659
Sm  0.000  0.000  0.874
Th  0.000  0.000  0.438
Th  0.333  0.667  0.107
Th  0.333  0.667  0.768

Values from the calculation:
**Energy of formation from the pure elements**: 0.8 eV/f.u.
**Calculated density**: 8.61 g cm⁻³

=====

This record from the Alexandria database describes ZrPaBi after structural relaxation. The functional is PBE.

Cell: 4.342 4.342 8.831 Å, 90.00 90.00 90.00°
Fractional coordinates of all 6 atoms:
Zr  0.250  0.250  0.229
Zr  0.750  0.750  0.771
Pa  0.250  0.250  0.902
Pa  0.750  0.750  0.098
Bi  0.250  0.750  0.500
Bi  0.750  0.250  0.500

Values from the calculation:
**Energy of formation from the pure elements**: 1.2 eV/f.u.
**Offset from the most stable computed form**: 505.0 meV/atom
**Calculated density**: 10.60 g cm⁻³

=====

This record from the Alexandria database describes SmY2Au after structural relaxation. The functional is PBE.

Cell: 3.640 3.640 8.587 Å, 90.00 90.00 90.00°
Fractional coordinates of all 4 atoms:
Sm  0.000  0.000  0.000
Y  0.500  0.500  0.296
Y  0.500  0.500  0.704
Au  0.000  0.000  0.500

Values from the calculation:
**Energy of formation from the pure elements**: -1.6 eV/f.u.
**Offset from the most stable computed form**: 41.2 meV/atom
**Calculated density**: 7.67 g cm⁻³

=====

This record from the Alexandria database describes TbHfMn4 after structural relaxation. The functional is PBE.

Cell: 5.022 5.022 5.022 Å, 60.00 60.00 60.00°
Fractional coordinates of all 6 atoms:
Tb  0.000  0.000  0.000
Hf  0.250  0.250  0.250
Mn  0.127  0.624  0.624
Mn  0.624  0.127  0.624
Mn  0.624  0.624  0.127
Mn  0.624  0.624  0.624

Values from the calculation:
**Energy of formation from the pure elements**: 0.0 eV/f.u.
**Calculated density**: 10.33 g cm⁻³

=====

This record from the Alexandria database describes CuRh2Br after structural relaxation. The functional is PBE.

Cell: 4.496 4.496 2.991 Å, 90.00 90.00 90.00°
Fractional coordinates of all 4 atoms:
Cu  0.000  0.000  0.000
Rh  0.000  0.500  0.500
Rh  0.500  0.000  0.500
Br  0.500  0.500  0.000

Values from the calculation:
**Offset from the most stable computed form**: 212.3 meV/atom
**Calculated density**: 9.59 g cm⁻³

=====

This record from the Alexandria database describes ErTm4Se5 after structural relaxation. The functional is PBE.

Cell: 14.549 14.549 14.549 Å, 164.15 164.15 22.49°
Fractional coordinates of all 10 atoms:
Er  0.000  0.000  0.000
Tm  0.204  0.204  0.000
Tm  0.402  0.402  0.000
Tm  0.598  0.598  0.000
Tm  0.796  0.796  0.000
Se  0.102  0.102  0.000
Se  0.302  0.302  0.000
Se  0.500  0.500  0.000
Se  0.698  0.698  0.000
Se  0.898  0.898  0.000

Values from the calculation:
**Calculated density**: 8.95 g cm⁻³
**E_tot**: -0.41526 Ry per atom

=====

This record from the Alexandria database describes SrCoCl after structural relaxation. The functional is PBE.

Cell: 5.792 5.792 8.315 Å, 114.18 114.18 39.81°
Fractional coordinates of all 6 atoms:
Sr  0.000  0.000  0.000
Sr  0.152  0.152  0.613
Co  0.450  0.450  0.680
Co  0.858  0.858  0.571
Cl  0.291  0.291  0.009
Cl  0.646  0.646  0.313

Values from the calculation:
**Calculated density**: 3.76 g cm⁻³
**E_tot**: -0.31664 Ry per atom

=====

This record from the Alexandria database describes CdSb2Pd4 after structural relaxation. The functional is PBE.

Cell: 4.560 4.560 14.628 Å, 90.00 90.00 119.88°
Fractional coordinates of all 14 atoms:
Cd  0.002  0.998  0.750
Cd  0.998  0.002  0.250
Sb  0.334  0.666  0.571
Sb  0.334  0.666  0.929
Sb  0.666  0.334  0.071
Sb  0.666  0.334  0.429
Pd  0.000  0.000  0.000
Pd  0.000  0.000  0.500
Pd  0.332  0.668  0.143
Pd  0.332  0.668  0.357
Pd  0.335  0.665  0.750
Pd  0.665  0.335  0.250
Pd  0.668  0.332  0.643
Pd  0.668  0.332  0.857

Values from the calculation:
**Calculated density**: 9.84 g cm⁻³
**E_tot**: -0.33633 Ry per atom

=====

This record from the Alexandria database describes TmTh2UP4 after structural relaxation. The functional is PBE.

Cell: 6.994 4.037 7.012 Å, 90.00 109.35 90.00°
Fractional coordinates of all 8 atoms:
Tm  0.000  0.000  0.000
Th  0.500  0.000  0.500
Th  0.500  0.500  0.000
U  0.000  0.500  0.500
P  0.235  0.000  0.744
P  0.236  0.500  0.247
P  0.764  0.500  0.753
P  0.765  0.000  0.256

Values from the calculation:
**Energy of formation from the pure elements**: -11.2 eV/f.u.
**Calculated density**: 8.84 g cm⁻³

=====

This record from the Alexandria database describes K2RbNiH6 after structural relaxation. The functional is PBE.

Cell: 5.678 5.678 7.261 Å, 90.00 90.00 120.00°
Fractional coordinates of all 10 atoms:
K  0.333  0.667  0.370
K  0.667  0.333  0.630
Rb  0.000  0.000  0.000
Ni  0.000  0.000  0.500
H  0.126  0.252  0.624
H  0.126  0.874  0.624
H  0.252  0.126  0.376
H  0.748  0.874  0.624
H  0.874  0.126  0.376
H  0.874  0.748  0.376

Values from the calculation:
**Calculated density**: 1.87 g cm⁻³
**E_tot**: -0.22512 Ry per atom

=====

This record from the Alexandria database describes ScBeHg2 after structural relaxation. The functional is PBE.

Cell: 4.766 4.726 4.715 Å, 60.63 59.80 59.57°
Fractional coordinates of all 4 atoms:
Sc  0.000  0.000  0.000
Be  0.750  0.750  0.750
Hg  0.250  0.250  0.250
Hg  0.500  0.500  0.500

Values from the calculation:
**Energy of formation from the pure elements**: 0.4 eV/f.u.
**Calculated density**: 10.07 g cm⁻³

=====

This record from the Alexandria database describes SnPH2Au after structural relaxation. The functional is PBE.

Cell: 3.745 3.745 5.442 Å, 90.00 90.00 90.00°
Fractional coordinates of all 5 atoms:
Sn  0.000  0.000  0.000
P  0.000  0.000  0.500
H  0.000  0.500  0.000
H  0.500  0.000  0.000
Au  0.500  0.500  0.500

Values from the calculation:
**Calculated density**: 7.59 g cm⁻³
**E_tot**: -0.26522 Ry per atom